Record 1
Computed, not measured: crystalline CaReC3 at its relaxed geometry at the PBE level of DFT.

Lattice parameters (Å, degrees): 4.0551 4.0551 4.0551 90.00 90.00 90.00
Space group Pm-3m (No. 221)
Unique sites:
Ca  0.0000  0.0000  0.0000
Re  0.5000  0.5000  0.5000
C  0.0000  0.5000  0.5000

V in Å³ per cell: 66.7
Relative energy among the computed polymorphs in eV per atom: 0.000
Final energy in eV/atom: -7.52
DOS(E_F) in states/eV/f.u.: 3.1
Formation enthalpy at 0 K in kJ/mol of formula units: 436

***

Record 2
Computed, not measured: crystalline CaReC2 at its relaxed geometry at the PBE level of DFT.

Lattice parameters (Å, degrees): 5.2337 5.2337 9.6816 90.00 90.00 90.00
Space group I-42d (No. 122)
Unique sites:
Ca  0.0000  0.0000  0.0000
Re  0.0000  0.0000  0.5000
C  0.1452  0.2500  0.6250

V in Å³ per cell: 265.2
Relative energy among the computed polymorphs in eV per atom: 0.000
Final energy in eV/atom: -7.92
DOS(E_F) in states/eV/f.u.: 1.9
Formation enthalpy at 0 K in kJ/mol of formula units: 119

***

Record 3
Computed, not measured: crystalline CaReC at its relaxed geometry at the PBE level of DFT.

Lattice parameters (Å, degrees): 3.6427 3.6427 16.6188 90.00 90.00 90.00
Space group I4/mmm (No. 139)
Unique sites:
Ca  0.0000  0.0000  0.1513
Re  0.0000  0.5000  0.0000
C  0.0000  0.0000  0.4211

V in Å³ per cell: 220.5
Final energy in eV/atom: -7.46
DOS(E_F) in states/eV/f.u.: 2.5
Formation enthalpy at 0 K in kJ/mol of formula units: 124

***

Record 4
Computed, not measured: crystalline Ca3ReC at its relaxed geometry at the PBE level of DFT.

Lattice parameters (Å, degrees): 4.9710 4.9710 4.9710 90.00 90.00 90.00
Space group Pm-3m (No. 221)
Unique sites:
Ca  0.0000  0.0000  0.5000
Re  0.5000  0.5000  0.5000
C  0.0000  0.0000  0.0000

V in Å³ per cell: 122.8
Relative energy among the computed polymorphs in eV per atom: 0.000
Final energy in eV/atom: -4.56
DOS(E_F) in states/eV/f.u.: 3.3
Formation enthalpy at 0 K in kJ/mol of formula units: 471

***

Record 5
Computed, not measured: crystalline Ca3ReC at its relaxed geometry at the PBE level of DFT.

Lattice parameters (Å, degrees): 5.4249 5.4249 5.4249 90.00 90.00 90.00
Space group Pm-3m (No. 221)
Unique sites:
Ca  0.0000  0.0000  0.5000
Re  0.0000  0.0000  0.0000
C  0.5000  0.5000  0.5000

V in Å³ per cell: 159.7
Relative energy among the computed polymorphs in eV per atom: 0.839
Final energy in eV/atom: -3.72
DOS(E_F) in states/eV/f.u.: 0.8
Formation enthalpy at 0 K in kJ/mol of formula units: 876

***

Record 6
Computed, not measured: crystalline CaReC2 at its relaxed geometry at the PBE level of DFT.

Lattice parameters (Å, degrees): 5.6783 5.6783 5.6783 90.00 90.00 90.00
Space group Fm-3m (No. 225)
Unique sites:
Ca  0.0000  0.0000  0.0000
Re  0.0000  0.0000  0.5000
C  0.2500  0.2500  0.2500

V in Å³ per cell: 183.1
Relative energy among the computed polymorphs in eV per atom: 1.121
Final energy in eV/atom: -6.80
DOS(E_F) in states/eV/f.u.: 5.5
Formation enthalpy at 0 K in kJ/mol of formula units: 551